Compound: Sr2Ac15La2
Source: Alexandria
Functional: PBE
Structure: relaxed

Properties
- total magnetic moment (μB per formula unit) = 0.0
- total DFT energy (no corrections) (eV/atom) = -3.7191
- calculated density (g/cm3) = 7.052
- calculated volume (Å³ per cell) = 908.5
- space group = R-3m, No. 166

a b c (Å): 9.7805 9.7805 9.7805
angles (deg): 81.65 81.65 81.65
Fractional coordinates of all 19 atoms:
Sr (0.1673, 0.1673, 0.1673)
Sr (0.8327, 0.8327, 0.8327)
Ac (0.0000, 0.5000, 0.5000)
Ac (0.1444, 0.1444, 0.6472)
Ac (0.1444, 0.6472, 0.1444)
Ac (0.2034, 0.5000, 0.7966)
Ac (0.2034, 0.7966, 0.5000)
Ac (0.3528, 0.8556, 0.8556)
Ac (0.5000, 0.0000, 0.5000)
Ac (0.5000, 0.2034, 0.7966)
Ac (0.5000, 0.5000, 0.0000)
Ac (0.5000, 0.7966, 0.2034)
Ac (0.6472, 0.1444, 0.1444)
Ac (0.7966, 0.2034, 0.5000)
Ac (0.7966, 0.5000, 0.2034)
Ac (0.8556, 0.3528, 0.8556)
Ac (0.8556, 0.8556, 0.3528)
La (0.4172, 0.4172, 0.4172)
La (0.5828, 0.5828, 0.5828)